(1)
This record from OQMD describes a relaxed structure of ThPt2. The functional is PBE-GGA.

The structure in POSCAR format:
```
ThPt2
1.0
-2.101 2.101 7.253
2.101 -2.101 7.253
2.101 2.101 -7.253
Th Pt
2 4
Direct
0.156 0.156 0.000 Th
0.844 0.844 0.000 Th
0.000 0.500 0.500 Pt
0.363 0.363 0.000 Pt
0.500 0.000 0.500 Pt
0.637 0.637 0.000 Pt
```

The magnetic moment comes out at 0.0 μB/cell. Its formation energy is -360 kJ/mol of formula units. The calculation puts the uncorrected energy at -7.752 eV per atom. As for the space group: I4/mmm.



(2)
This record from OQMD describes a relaxed structure of ThTlPt4. The functional is PBE-GGA.

The structure in POSCAR format:
```
ThTlPt4
1.0
0.000 3.878 3.878
3.878 0.000 3.878
3.878 3.878 0.000
Th Tl Pt
1 1 4
Direct
0.000 0.000 0.000 Th
0.750 0.750 0.750 Tl
0.375 0.375 0.375 Pt
0.375 0.375 0.874 Pt
0.375 0.874 0.375 Pt
0.874 0.375 0.375 Pt
```

The magnetic moment comes out at 0.0 μB/cell. The calculation puts the uncorrected energy at -6.446 eV per atom. As for the space group: F-43m.



(3)
This record from OQMD describes a relaxed structure of TmThPt. The functional is PBE-GGA.

The structure in POSCAR format:
```
TmThPt
1.0
0.000 3.487 3.487
3.487 0.000 3.487
3.487 3.487 0.000
Tm Th Pt
1 1 1
Direct
0.000 0.000 0.000 Tm
0.500 0.500 0.500 Th
0.750 0.750 0.750 Pt
```

The magnetic moment comes out at 0.0 μB/cell. Its formation energy is -204 kJ/mol of formula units. The calculation puts the uncorrected energy at -6.685 eV per atom. As for the space group: F-43m. As for the offset from the most stable computed form: 0.00 eV/f.u.



(4)
This record from OQMD describes a relaxed structure of ThUPt. The functional is PBE-GGA.

The structure in POSCAR format:
```
ThUPt
1.0
0.000 3.436 3.436
3.436 0.000 3.436
3.436 3.436 0.000
Th U Pt
1 1 1
Direct
0.000 0.000 0.000 Th
0.500 0.500 0.500 U
0.250 0.250 0.250 Pt
```

The magnetic moment comes out at 3.2 μB/cell. Its formation energy is -31 kJ/mol of formula units. The calculation puts the uncorrected energy at -8.362 eV per atom. As for the space group: F-43m. As for the offset from the most stable computed form: 0.00 eV/f.u.